# 1
# YBe2Co PBEsol relaxed
# Energy relative to the elements, eV/atom: -0.18
# M_tot, μB/atom: 0.000
# Distance to the lowest polymorph of the same formula, kJ/mol of atoms: 0.0
data_YBe2Co
_chemical_formula_sum 'Y3 Be6 Co3'
_space_group_name_H-M_alt 'R -3 m'
_space_group_IT_number 166
_space_group_name_Hall '-R 3 2"'
_cell_length_a 3.6966
_cell_length_b 3.6966
_cell_length_c 14.2021
_cell_angle_alpha 90.00
_cell_angle_beta 90.00
_cell_angle_gamma 120.00
loop_
_atom_site_label
_atom_site_type_symbol
_atom_site_fract_x
_atom_site_fract_y
_atom_site_fract_z
_atom_site_occupancy
Y1 Y 0.0000 0.0000 0.0000 1
Be1 Be 0.0000 0.0000 0.1928 1
Co1 Co 0.0000 0.0000 0.5000 1

# 2
# InAsW2 PBEsol relaxed
# Energy relative to the elements, eV/atom: 0.64
# M_tot, μB/atom: 0.000
# Distance to the lowest polymorph of the same formula, kJ/mol of atoms: 17.1
data_InAsW2
_chemical_formula_sum 'In4 As4 W8'
_space_group_name_H-M_alt 'F -4 3 m'
_space_group_IT_number 216
_space_group_name_Hall 'F -4 2 3'
_cell_length_a 6.492
_cell_length_b 6.492
_cell_length_c 6.492
_cell_angle_alpha 90.00
_cell_angle_beta 90.00
_cell_angle_gamma 90.00
loop_
_atom_site_label
_atom_site_type_symbol
_atom_site_fract_x
_atom_site_fract_y
_atom_site_fract_z
_atom_site_occupancy
In1 In 0.000 0.000 0.000 1
As1 As 0.250 0.250 0.750 1
W1 W 0.000 0.000 0.500 1
W2 W 0.250 0.250 0.250 1

# 3
# LiSiTc2 PBEsol relaxed
# M_tot, μB/atom: 0.000
# Raw formation energy, eV/atom: -0.294
data_LiSiTc2
_chemical_formula_sum 'Li4 Si4 Tc8'
_space_group_name_H-M_alt 'F -4 3 m'
_space_group_IT_number 216
_space_group_name_Hall 'F -4 2 3'
_cell_length_a 5.869
_cell_length_b 5.869
_cell_length_c 5.869
_cell_angle_alpha 90.00
_cell_angle_beta 90.00
_cell_angle_gamma 90.00
loop_
_atom_site_label
_atom_site_type_symbol
_atom_site_fract_x
_atom_site_fract_y
_atom_site_fract_z
_atom_site_occupancy
Li1 Li 0.000 0.000 0.000 1
Si1 Si 0.250 0.250 0.750 1
Tc1 Tc 0.000 0.000 0.500 1
Tc2 Tc 0.250 0.250 0.250 1

# 4
# CaHg4Pt PBEsol relaxed
# Energy relative to the elements, eV/atom: -0.11
# M_tot, μB/atom: 0.000
data_CaHg4Pt
_chemical_formula_sum 'Ca4 Hg16 Pt4'
_space_group_name_H-M_alt 'F -4 3 m'
_space_group_IT_number 216
_space_group_name_Hall 'F -4 2 3'
_cell_length_a 7.990
_cell_length_b 7.990
_cell_length_c 7.990
_cell_angle_alpha 90.00
_cell_angle_beta 90.00
_cell_angle_gamma 90.00
loop_
_atom_site_label
_atom_site_type_symbol
_atom_site_fract_x
_atom_site_fract_y
_atom_site_fract_z
_atom_site_occupancy
Ca1 Ca 0.000 0.000 0.000 1
Hg1 Hg 0.124 0.124 0.376 1
Pt1 Pt 0.250 0.250 0.750 1

# 5
# Ca3HfRh PBEsol relaxed
# Energy relative to the elements, eV/atom: 1.62
# M_tot, μB/atom: 0.603
data_Ca3HfRh
_chemical_formula_sum 'Ca3 Hf1 Rh1'
_space_group_name_H-M_alt 'P m -3 m'
_space_group_IT_number 221
_space_group_name_Hall '-P 4 2 3'
_cell_length_a 5.470
_cell_length_b 5.470
_cell_length_c 5.470
_cell_angle_alpha 90.00
_cell_angle_beta 90.00
_cell_angle_gamma 90.00
loop_
_atom_site_label
_atom_site_type_symbol
_atom_site_fract_x
_atom_site_fract_y
_atom_site_fract_z
_atom_site_occupancy
Ca1 Ca 0.000 0.000 0.500 1
Hf1 Hf 0.000 0.000 0.000 1
Rh1 Rh 0.500 0.500 0.500 1

# 6
# HoGe2Ru2 PBEsol relaxed
# Energy relative to the elements, eV/atom: -0.65
# M_tot, μB/atom: 0.000
data_HoGe2Ru2
_chemical_formula_sum 'Ho2 Ge4 Ru4'
_space_group_name_H-M_alt 'I 4/m m m'
_space_group_IT_number 139
_space_group_name_Hall '-I 4 2'
_cell_length_a 4.192
_cell_length_b 4.192
_cell_length_c 9.749
_cell_angle_alpha 90.00
_cell_angle_beta 90.00
_cell_angle_gamma 90.00
loop_
_atom_site_label
_atom_site_type_symbol
_atom_site_fract_x
_atom_site_fract_y
_atom_site_fract_z
_atom_site_occupancy
Ho1 Ho 0.000 0.000 0.000 1
Ge1 Ge 0.000 0.000 0.371 1
Ru1 Ru 0.000 0.500 0.250 1

# 7
# TcOs PBEsol relaxed
# Energy relative to the elements, eV/atom: -0.09
# M_tot, μB/atom: 0.000
# Distance to the lowest polymorph of the same formula, kJ/mol of atoms: 0.5
data_TcOs
_chemical_formula_sum 'Tc4 Os4'
_space_group_name_H-M_alt 'C 1 2/m 1'
_space_group_IT_number 12
_cell_length_a 9.838
_cell_length_b 2.727
_cell_length_c 4.729
_cell_angle_alpha 90.00
_cell_angle_beta 118.61
_cell_angle_gamma 90.00
loop_
_space_group_symop_operation_xyz
'x,y,z'
'-x,-y,-z'
'-x,y,-z'
'x,-y,z'
'x+1/2,y+1/2,z'
'-x+1/2,-y+1/2,-z'
'-x+1/2,y+1/2,-z'
'x+1/2,-y+1/2,z'
loop_
_atom_site_label
_atom_site_type_symbol
_atom_site_fract_x
_atom_site_fract_y
_atom_site_fract_z
_atom_site_occupancy
Tc1 Tc 0.124 0.000 0.458 1
Os1 Os 0.125 0.500 0.959 1

# 8
# KHg3N PBEsol relaxed
# M_tot, μB/atom: 0.496
# Raw formation energy, eV/atom: 1.289
data_KHg3N
_chemical_formula_sum 'K1 Hg3 N1'
_space_group_name_H-M_alt 'P m -3 m'
_space_group_IT_number 221
_space_group_name_Hall '-P 4 2 3'
_cell_length_a 6.646
_cell_length_b 6.646
_cell_length_c 6.646
_cell_angle_alpha 90.00
_cell_angle_beta 90.00
_cell_angle_gamma 90.00
loop_
_atom_site_label
_atom_site_type_symbol
_atom_site_fract_x
_atom_site_fract_y
_atom_site_fract_z
_atom_site_occupancy
K1 K 0.000 0.000 0.000 1
Hg1 Hg 0.000 0.000 0.500 1
N1 N 0.500 0.500 0.500 1

# 9
# NaHfAg3 PBEsol relaxed
# Energy relative to the elements, eV/atom: 1.01
# M_tot, μB/atom: 0.003
data_NaHfAg3
_chemical_formula_sum 'Na1 Hf1 Ag3'
_space_group_name_H-M_alt 'P m -3 m'
_space_group_IT_number 221
_space_group_name_Hall '-P 4 2 3'
_cell_length_a 4.667
_cell_length_b 4.667
_cell_length_c 4.667
_cell_angle_alpha 90.00
_cell_angle_beta 90.00
_cell_angle_gamma 90.00
loop_
_atom_site_label
_atom_site_type_symbol
_atom_site_fract_x
_atom_site_fract_y
_atom_site_fract_z
_atom_site_occupancy
Na1 Na 0.000 0.000 0.000 1
Hf1 Hf 0.500 0.500 0.500 1
Ag1 Ag 0.000 0.000 0.500 1

# 10
# Tc2MoW PBEsol relaxed
# Energy relative to the elements, eV/atom: 0.08
# M_tot, μB/atom: 0.000
# Distance to the lowest polymorph of the same formula, kJ/mol of atoms: 0.0
data_Tc2MoW
_chemical_formula_sum 'Tc4 Mo2 W2'
_space_group_name_H-M_alt 'I m m 2'
_space_group_IT_number 44
_cell_length_a 3.099
_cell_length_b 4.366
_cell_length_c 8.766
_cell_angle_alpha 90.00
_cell_angle_beta 90.00
_cell_angle_gamma 90.00
loop_
_space_group_symop_operation_xyz
'x,y,z'
'-x,-y,z'
'-x,y,z'
'x,-y,z'
'x+1/2,y+1/2,z+1/2'
'-x+1/2,-y+1/2,z+1/2'
'-x+1/2,y+1/2,z+1/2'
'x+1/2,-y+1/2,z+1/2'
loop_
_atom_site_label
_atom_site_type_symbol
_atom_site_fract_x
_atom_site_fract_y
_atom_site_fract_z
_atom_site_occupancy
Tc1 Tc 0.000 0.000 0.000 1
Tc2 Tc 0.000 0.500 0.235 1
Mo1 Mo 0.000 0.500 0.751 1
W1 W 0.000 0.000 0.490 1

# 11
# Be2CoReIr PBEsol relaxed
# Energy relative to the elements, eV/atom: 0.88
# M_tot, μB/atom: 0.042
data_Be2CoReIr
_chemical_formula_sum 'Be2 Co1 Re1 Ir1'
_space_group_name_H-M_alt 'P 4/m m m'
_space_group_IT_number 123
_space_group_name_Hall '-P 4 2'
_cell_length_a 3.857
_cell_length_b 3.857
_cell_length_c 4.324
_cell_angle_alpha 90.00
_cell_angle_beta 90.00
_cell_angle_gamma 90.00
loop_
_atom_site_label
_atom_site_type_symbol
_atom_site_fract_x
_atom_site_fract_y
_atom_site_fract_z
_atom_site_occupancy
Be1 Be 0.000 0.500 0.000 1
Co1 Co 0.000 0.000 0.000 1
Re1 Re 0.000 0.000 0.500 1
Ir1 Ir 0.500 0.500 0.500 1

# 12
# Sr2ZnCu PBEsol relaxed
# Energy relative to the elements, eV/atom: -0.01
# M_tot, μB/atom: 0.000
data_Sr2ZnCu
_chemical_formula_sum 'Sr2 Zn1 Cu1'
_space_group_name_H-M_alt 'P 4/m m m'
_space_group_IT_number 123
_space_group_name_Hall '-P 4 2'
_cell_length_a 5.287
_cell_length_b 5.287
_cell_length_c 3.796
_cell_angle_alpha 90.00
_cell_angle_beta 90.00
_cell_angle_gamma 90.00
loop_
_atom_site_label
_atom_site_type_symbol
_atom_site_fract_x
_atom_site_fract_y
_atom_site_fract_z
_atom_site_occupancy
Sr1 Sr 0.000 0.500 0.000 1
Zn1 Zn 0.000 0.000 0.500 1
Cu1 Cu 0.500 0.500 0.500 1

# 13
# Ti3Mn2CoP6O24 PBEsol relaxed
# M_tot, μB/atom: 0.359
# Raw formation energy, eV/atom: -2.269
data_Ti3Mn2CoP6O24
_chemical_formula_sum 'Ti9 Mn6 Co3 P18 O72'
_space_group_name_H-M_alt 'R 3'
_space_group_IT_number 146
_space_group_name_Hall 'R 3'
_cell_length_a 8.5852
_cell_length_b 8.5852
_cell_length_c 20.7307
_cell_angle_alpha 90.00
_cell_angle_beta 90.00
_cell_angle_gamma 120.00
loop_
_atom_site_label
_atom_site_type_symbol
_atom_site_fract_x
_atom_site_fract_y
_atom_site_fract_z
_atom_site_occupancy
Ti1 Ti 0.0000 0.0000 0.0000 1
Ti2 Ti 0.0000 0.0000 0.2133 1
Ti3 Ti 0.0000 0.0000 0.7090 1
Mn1 Mn 0.0000 0.0000 0.3597 1
Mn2 Mn 0.0000 0.0000 0.8559 1
Co1 Co 0.0000 0.0000 0.4964 1
P1 P 0.9996 0.2925 0.6026 1
P2 P 0.0425 0.6699 0.7723 1
O1 O 0.0037 0.1894 0.6638 1
O2 O 0.0036 0.2021 0.5414 1
O3 O 0.0208 0.8383 0.7784 1
O4 O 0.0234 0.1850 0.2782 1
O5 O 0.1450 0.6677 0.8332 1
O6 O 0.1598 0.6893 0.7130 1
O7 O 0.1636 0.4883 0.6017 1
O8 O 0.1667 0.6944 0.0957 1